(1)
Below is a relaxed CuMoRh2 crystal, with properties calculated at the PBE level.

Results
Total energy = -55.99 eV per cell
Spin magnetization = 0.00 μB per cell
Energy above the most stable polymorph in this dataset = 544 meV/atom
Calculated formation energy = 0.4090 eV per atom

Cell: 6.7926 6.7926 5.5257 Å, 52.07 52.07 90.00°
With the nearest neighbours (Å) after each atom.
Element x y z (fractional)
Mo (0.0000, 0.0000, 0.0000)  4 Rh 2.43
Mo (0.7500, 0.2500, 0.5000)  4 Rh 2.43
Rh (0.6406, 0.1250, 0.2500)  2 Mo 2.43, 2 Cu 2.57
Rh (0.1094, 0.6250, 0.2500)  2 Mo 2.43, 2 Cu 2.57
Rh (0.3750, 0.3594, 0.7500)  2 Mo 2.43, 2 Cu 2.57
Rh (0.8750, 0.8906, 0.7500)  2 Mo 2.43, 2 Cu 2.57
Cu (0.5000, 0.5000, 0.0000)  4 Rh 2.57, 2 Mo 2.73
Cu (0.2500, 0.7500, 0.5000)  4 Rh 2.57, 2 Mo 2.73

(2)
Below is a relaxed LaTbY crystal, with properties calculated at the PBE level.

Results
Total energy = -15.97 eV per cell
Spin magnetization = 0.00 μB per cell
Energy above the most stable polymorph in this dataset = 0 meV/atom
Calculated formation energy = 0.0176 eV per atom

Cell: 3.6303 3.6303 8.8519 Å, 90.00 90.00 120.00°
With the nearest neighbours (Å) after each atom.
Element x y z (fractional)
Y (0.3333, 0.6667, 0.6612)  3 Tb 3.55, 6 Y 3.63, 3 La 3.66
Tb (0.6667, 0.3333, 0.3381)  3 Y 3.55, 6 Tb 3.63, 3 La 3.65
La (0.0000, 0.0000, 0.0007)  6 La 3.63, 3 Tb 3.65, 3 Y 3.66

(3)
Below is a relaxed K4TbPu3S8 crystal, with properties calculated at the PBE level.

Results
Total energy = -111.59 eV per cell
Spin magnetization = 15.00 μB per cell
E_form (uncorrected) = -1.66 eV/atom

Cell: 8.2129 8.7320 8.2136 Å, 118.05 120.00 90.00°
With the nearest neighbours (Å) after each atom.
Element x y z (fractional)
K (0.5000, 0.0000, 0.0000)  6 S 3.23
K (0.5000, 0.0000, 0.5000)  6 S 3.22-3.24
K (0.0000, 0.0000, 0.0000)  6 S 3.22-3.24
K (0.0000, 0.0000, 0.5000)  6 S 3.22-3.24
Tb (0.0000, 0.5000, 0.0000)  6 S 2.79
Pu (0.5000, 0.5000, 0.0000)  6 S 2.78-2.80
Pu (0.5000, 0.5000, 0.5000)  6 S 2.78-2.80
Pu (0.0000, 0.5000, 0.5000)  6 S 2.78-2.80
S (0.2333, 0.7016, 0.9683)  1 Tb 2.79, 2 Pu 2.80
S (0.2332, 0.7016, 0.4665)  1 Tb 2.79, 2 Pu 2.80
S (0.2673, 0.3019, 0.5346)  3 Pu 2.78
S (0.7351, 0.7016, 0.9683)  1 Tb 2.79, 2 Pu 2.80
S (0.2649, 0.2984, 0.0317)  1 Tb 2.79, 2 Pu 2.80
S (0.7327, 0.6981, 0.4654)  3 Pu 2.78
S (0.7668, 0.2984, 0.5335)  1 Tb 2.79, 2 Pu 2.80
S (0.7667, 0.2984, 0.0317)  1 Tb 2.79, 2 Pu 2.80

(4)
Below is a relaxed La3AgF crystal, with properties calculated at the PBE level.

Results
Total energy = -24.30 eV per cell
Spin magnetization = 0.00 μB per cell
Energy above the most stable polymorph in this dataset = 0 meV/atom
E_form (uncorrected) = -0.96 eV/atom

Cell: 5.1135 5.1135 5.1135 Å, 90.00 90.00 90.00°
With the nearest neighbours (Å) after each atom.
Element x y z (fractional)
F (0.0000, 0.0000, 0.0000)  6 La 2.56
Ag (0.5000, 0.5000, 0.5000)  12 La 3.62
La (0.0000, 0.5000, 0.0000)  2 F 2.56
La (0.0000, 0.0000, 0.5000)  2 F 2.56
La (0.5000, 0.0000, 0.0000)  2 F 2.56

(5)
Below is a relaxed Li2AlRe crystal, with properties calculated at the PBE level.

Results
Total energy = -34.74 eV per cell
Spin magnetization = 0.00 μB per cell
Calculated formation energy = 0.6624 eV per atom

Cell: 6.8207 6.8207 5.4251 Å, 51.05 51.05 90.00°
With the nearest neighbours (Å) after each atom.
Element x y z (fractional)
Re (0.0000, 0.0000, 0.0000)  2 Al 2.48, 4 Li 2.55
Re (0.7500, 0.2500, 0.5000)  2 Al 2.48, 4 Li 2.55
Al (0.5000, 0.5000, 0.0000)  4 Li 2.44, 2 Re 2.48
Al (0.2500, 0.7500, 0.5000)  4 Li 2.44, 2 Re 2.48
Li (0.6133, 0.1250, 0.2500)  2 Al 2.44, 2 Li 2.49, 2 Re 2.55
Li (0.1367, 0.6250, 0.2500)  2 Al 2.44, 2 Li 2.49, 2 Re 2.55
Li (0.3750, 0.3867, 0.7500)  2 Al 2.44, 2 Li 2.49, 2 Re 2.55
Li (0.8750, 0.8633, 0.7500)  2 Al 2.44, 2 Li 2.49, 2 Re 2.55

(6)
Below is a relaxed Np3Pa3S10 crystal, with properties calculated at the PBE level.

Results
Total energy = -132.32 eV per cell
Spin magnetization = 16.05 μB per cell
E_form (uncorrected) = -1.48 eV/atom

Cell: 6.1022 7.9447 7.9447 Å, 120.00 90.00 90.00°
With the nearest neighbours (Å) after each atom.
Element x y z (fractional)
Np (0.5000, 0.0000, 0.3867)  7 S 2.71-2.91
Np (0.5000, 0.3867, 0.0000)  7 S 2.71-2.91
Np (0.5000, 0.6133, 0.6133)  7 S 2.71-2.91
Pa (0.0000, 0.0000, 0.6096)  7 S 2.73-2.88
Pa (0.0000, 0.6096, 0.0000)  7 S 2.73-2.88
Pa (0.0000, 0.3904, 0.3904)  7 S 2.73-2.88
S (0.2473, 0.6667, 0.3333)  3 Pa 2.88, 3 Np 2.91, 2 S 3.02-3.08
S (0.2473, 0.3333, 0.6667)  3 Pa 2.88, 3 Np 2.91, 2 S 3.02-3.08
S (0.7527, 0.3333, 0.6667)  3 Pa 2.88, 3 Np 2.91, 2 S 3.02-3.08
S (0.7527, 0.6667, 0.3333)  3 Pa 2.88, 3 Np 2.91, 2 S 3.02-3.08
S (0.5000, 0.0000, 0.7404)  3 Np 2.71-2.81
S (0.5000, 0.7404, 0.0000)  3 Np 2.71-2.81
S (0.5000, 0.2596, 0.2596)  3 Np 2.71-2.81
S (0.0000, 0.0000, 0.2559)  3 Pa 2.73-2.81
S (0.0000, 0.2559, 0.0000)  3 Pa 2.73-2.81
S (0.0000, 0.7441, 0.7441)  3 Pa 2.73-2.81

(7)
Below is a relaxed Sm3TeIrBr crystal, with properties calculated at the PBE level.

Results
Total energy = -68.12 eV per cell
Spin magnetization = 0.00 μB per cell
E_form (uncorrected) = -1.04 eV/atom

Cell: 4.1710 8.9526 10.6217 Å, 91.16 90.00 90.00°
With the nearest neighbours (Å) after each atom.
Element x y z (fractional)
Sm (0.7500, 0.8388, 0.1311)  2 Ir 2.88, 1 Br 3.10, 1 Te 3.18
Sm (0.2500, 0.1612, 0.8689)  2 Ir 2.88, 1 Br 3.10, 1 Te 3.18
Sm (0.2500, 0.6365, 0.3908)  1 Ir 2.68, 2 Br 2.91
Sm (0.7500, 0.3635, 0.6092)  1 Ir 2.68, 2 Br 2.91
Sm (0.7500, 0.3926, 0.1299)  3 Ir 2.85-2.90
Sm (0.2500, 0.6074, 0.8701)  3 Ir 2.85-2.90
Te (0.2500, 0.1140, 0.1648)  5 Sm 3.18-3.28
Te (0.7500, 0.8860, 0.8352)  5 Sm 3.18-3.28
Ir (0.2500, 0.6173, 0.1387)  6 Sm 2.68-2.90
Ir (0.7500, 0.3827, 0.8613)  6 Sm 2.68-2.90
Br (0.2500, 0.1391, 0.5770)  3 Sm 2.91-3.10
Br (0.7500, 0.8609, 0.4230)  3 Sm 2.91-3.10

(8)
Below is a relaxed GePS3 crystal, with properties calculated at the PBE level.

Results
Total energy = -45.47 eV per cell
Spin magnetization = 0.00 μB per cell
Energy above the most stable polymorph in this dataset = 0 meV/atom
E_form (uncorrected) = -0.07 eV/atom

Cell: 3.3385 7.2279 9.9328 Å, 90.00 99.67 90.00°
With the nearest neighbours (Å) after each atom.
Element x y z (fractional)
Ge (0.3380, 0.4660, 0.6759)  2 S 2.27
Ge (0.6620, 0.9660, 0.3241)  2 S 2.27
P (0.8382, 0.9214, 0.6764)  3 S 2.08-2.23
P (0.1618, 0.4214, 0.3236)  3 S 2.08-2.23
S (0.9060, 0.3594, 0.8119)  2 Ge 2.27
S (0.0940, 0.8594, 0.1881)  2 Ge 2.27
S (0.5959, 0.3202, 0.1917)  2 P 2.23
S (0.4041, 0.8202, 0.8083)  2 P 2.23
S (0.7595, 0.7272, 0.5190)  1 P 2.08
S (0.2405, 0.2272, 0.4810)  1 P 2.08

(9)
Below is a relaxed Rb2ZnPbBr6 crystal, with properties calculated at the PBE level.

Results
Total energy = -28.85 eV per cell
Spin magnetization = 0.00 μB per cell
Energy above the most stable polymorph in this dataset = 24 meV/atom
E_form (uncorrected) = -1.19 eV/atom

Cell: 7.9561 7.9561 7.9577 Å, 60.01 60.01 90.00°
With the nearest neighbours (Å) after each atom.
Element x y z (fractional)
Pb (0.0000, 0.0000, 0.0000)  6 Br 2.98-2.99
Zn (0.5000, 0.5000, 0.0000)  6 Br 2.64
Br (0.2652, 0.2652, 0.4695)  1 Zn 2.64
Br (0.7348, 0.7348, 0.5305)  1 Zn 2.64
Br (0.2652, 0.2652, 0.0000)  1 Zn 2.64
Br (0.7348, 0.7348, 0.0000)  1 Zn 2.64
Br (0.7348, 0.2652, 0.0000)  1 Zn 2.64
Br (0.2652, 0.7348, 0.0000)  1 Zn 2.64
Rb (0.7500, 0.2500, 0.5000)  12 Br 3.98
Rb (0.2500, 0.7500, 0.5000)  12 Br 3.98

(10)
Below is a relaxed Ac4Bi3N crystal, with properties calculated at the PBE level.

Results
Total energy = -85.42 eV per cell
Spin magnetization = 0.00 μB per cell
E_form (uncorrected) = -0.79 eV/atom

Cell: 6.8853 9.3074 10.7428 Å, 90.00 90.00 90.00°
With the nearest neighbours (Å) after each atom.
Element x y z (fractional)
Ac (0.0708, 0.9065, 0.0000)  1 N 2.61
Ac (0.6328, 0.1869, 0.0000)  1 N 2.45
Ac (0.0726, 0.3040, 0.2083)  1 N 2.58
Ac (0.5726, 0.6960, 0.2917)  1 N 2.58
Ac (0.1328, 0.8131, 0.5000)  1 N 2.45
Ac (0.5708, 0.0935, 0.5000)  1 N 2.61
Ac (0.5726, 0.6960, 0.7083)  1 N 2.58
Ac (0.0726, 0.3040, 0.7917)  1 N 2.58
Bi (0.5590, 0.8406, 0.0000)  5 Ac 3.26-3.58
Bi (0.0592, 0.6626, 0.2285)  5 Ac 3.27-3.61
Bi (0.5592, 0.3374, 0.2715)  5 Ac 3.27-3.61
Bi (0.0590, 0.1594, 0.5000)  5 Ac 3.26-3.58
Bi (0.5592, 0.3374, 0.7285)  5 Ac 3.27-3.61
Bi (0.0592, 0.6626, 0.7715)  5 Ac 3.27-3.61
N (0.9892, 0.1798, 0.0000)  4 Ac 2.45-2.61
N (0.4892, 0.8202, 0.5000)  4 Ac 2.45-2.61